Entry 1:
The following is a PBE-GGA calculation of an optimized crystal structure of Cs2NaPuI6, from Alexandria.

```
20
Lattice="-3.3296 -8.1683 -0.2659 7.4344 -2.9075 -3.7769 4.8167 -2.3304 11.2751" Properties=species:S:1:pos:R:3 pbc="T T T"
Cs 5.1194 -6.8491 -0.1490
Cs 3.0585 -1.3078 1.8766
Cs 5.4669 -2.4730 7.5143
Cs 7.5277 -8.0143 5.4885
I 3.6053 -8.7122 3.5663
I 9.2049 -3.9363 5.6568
I 1.2430 -7.6130 -2.1045
I 6.7673 -2.7569 -0.0492
I 6.5984 -4.9146 -3.8346
I 2.9247 -3.4874 -1.9702
I 3.7897 -6.5510 7.3459
I 5.2532 -4.6695 3.6979
I -0.0616 -7.2685 5.4312
I 1.5796 -3.2423 5.5623
I 4.9099 -9.0567 -3.9694
I 1.4106 -5.3999 1.7768
Na 7.9802 -3.3443 2.8068
Na 0.1978 -4.8126 -1.0792
Pu 5.5795 -2.1821 -2.8346
Pu 2.5984 -5.9748 4.5623
```

## Properties
- SG: Pmmn (59)
- Total magnetic moment: 10.0 μB per cell
- Formation energy from raw total energies: -13.1 eV per formula unit
- Total energy: -3.976 eV per atom



Entry 2:
The following is a PBE-GGA calculation of an optimized crystal structure of CsNa2PuI6, from Alexandria.

```
10
Lattice="8.3010 0.0005 0.0016 4.1509 7.1899 0.0011 4.1515 2.3973 7.7341" Properties=species:S:1:pos:R:3 pbc="T T T"
Pu 4.1502 2.3965 0.1041
I 11.1217 4.6909 1.7880
I 6.8012 2.4025 1.7868
I 10.0140 3.1516 5.8092
I 6.9798 7.2868 1.7863
I 6.0234 4.1323 5.8086
I 8.8685 7.0977 5.8087
Na 12.4500 7.1897 0.0434
Na 8.3035 4.7950 3.4558
Cs 12.4545 7.1922 4.6786
```

## Properties
- SG: R3 (146)
- Total magnetic moment: 5.0 μB per cell
- Formation energy from raw total energies: -12.2 eV per formula unit
- Total energy: -3.937 eV per atom